Crystalline Ni2NO2 at its relaxed geometry. Source: Alexandria, functional GGA+U.

The structure in extended XYZ format:
```
10
Lattice="5.719 0.000 0.000 0.000 5.719 0.000 0.000 0.000 2.927" Properties=species:S:1:pos:R:3 pbc="T T T"
N 0.000 0.000 0.000
O 0.849 3.709 1.464
Ni 1.109 1.751 0.000
Ni 3.968 1.109 0.000
O 3.709 4.870 1.464
Ni 1.751 4.611 0.000
O 2.010 0.849 1.464
O 4.870 2.010 1.464
N 2.860 2.860 0.000
Ni 4.611 3.968 0.000
```

Results
crystal system: tetragonal
spin magnetization: 0.598 μB/atom
electronic total energy: -4.16 eV per atom
space group: No. 127